# 1
{"formula": "NbFeAu", "functional": "PBE", "state": "optimized geometry", "total_energy_ev_per_cell": -63.314, "m_tot_mub_per_fu": 0.79, "polymorph_energy_ev_per_atom": 0.2630, "formation_enthalpy_0k_ev_per_atom": 0.24, "lattice": [[3.125, 0.000, 0.000], [-1.562, 2.706, 0.000], [0.000, 0.000, 17.861]], "species": ["Nb", "Nb", "Nb", "Au", "Au", "Au", "Fe", "Fe", "Fe"], "fractional_positions": [[0.000, 0.000, 0.650], [0.333, 0.667, 0.317], [0.667, 0.333, 0.984], [0.000, 0.000, 0.854], [0.333, 0.667, 0.521], [0.667, 0.333, 0.188], [0.000, 0.000, 0.406], [0.333, 0.667, 0.072], [0.667, 0.333, 0.739]]}

# 2
{"formula": "RbBaTi2", "functional": "PBE", "state": "optimized geometry", "total_energy_ev_per_cell": -13.135, "m_tot_mub_per_fu": 6.66, "polymorph_energy_ev_per_atom": 0.0030, "formation_enthalpy_0k_ev_per_atom": 1.39, "lattice": [[0.000, 4.259, 4.259], [4.259, 0.000, 4.259], [4.259, 4.259, 0.000]], "species": ["Ba", "Rb", "Ti", "Ti"], "fractional_positions": [[0.500, 0.500, 0.500], [0.000, 0.000, 0.000], [0.250, 0.250, 0.250], [0.750, 0.750, 0.750]]}

# 3
{"formula": "La3InRu", "functional": "PBE", "state": "optimized geometry", "total_energy_ev_per_cell": -52.511, "m_tot_mub_per_fu": 0.00, "polymorph_energy_ev_per_atom": 0.5255, "formation_enthalpy_0k_ev_per_atom": 0.11, "lattice": [[3.957, -4.230, -2.554], [1.855, 4.304, -4.255], [9.266, 2.691, 2.053]], "species": ["Ru", "Ru", "In", "In", "La", "La", "La", "La", "La", "La"], "fractional_positions": [[0.000, 0.000, 0.000], [0.250, 0.750, 0.500], [0.637, 0.137, 0.727], [0.863, 0.363, 0.273], [0.634, 0.889, 0.222], [0.111, 0.366, 0.778], [0.111, 0.856, 0.778], [0.144, 0.889, 0.222], [0.280, 0.280, 0.440], [0.720, 0.720, 0.560]]}

# 4
{"formula": "CaBe2F6", "functional": "PBE", "state": "optimized geometry", "raw_formation_energy_ev_per_atom": -3.356, "total_energy_ev_per_cell": -50.890, "m_tot_mub_per_fu": 0.00, "polymorph_energy_ev_per_atom": 0.1224, "lattice": [[-2.021, -1.322, 1.751], [2.110, 0.229, 5.150], [-2.900, 6.133, 3.825]], "species": ["Ca", "Be", "Be", "F", "F", "F", "F", "F", "F"], "fractional_positions": [[0.000, 0.500, 0.500], [0.190, 0.813, 0.806], [0.810, 0.187, 0.194], [0.675, 0.748, 0.903], [0.325, 0.252, 0.097], [0.905, 0.894, 0.297], [0.345, 0.645, 0.665], [0.095, 0.106, 0.703], [0.655, 0.355, 0.335]]}

# 5
{"formula": "SrPmSe2O8", "functional": "PBE", "state": "optimized geometry", "raw_formation_energy_ev_per_atom": -1.611, "total_energy_ev_per_cell": -72.396, "m_tot_mub_per_fu": 0.00, "lattice": [[5.809, 0.000, 0.000], [-2.904, 5.031, 0.000], [0.000, 0.000, 7.456]], "species": ["Sr", "Pm", "Se", "Se", "O", "O", "O", "O", "O", "O", "O", "O"], "fractional_positions": [[0.000, 0.000, 0.000], [0.000, 0.000, 0.500], [0.667, 0.333, 0.214], [0.333, 0.667, 0.786], [0.333, 0.667, 0.009], [0.333, 0.168, 0.281], [0.832, 0.165, 0.281], [0.667, 0.333, 0.991], [0.168, 0.835, 0.719], [0.667, 0.832, 0.719], [0.165, 0.333, 0.719], [0.835, 0.667, 0.281]]}

# 6
{"formula": "MnBeMo3", "functional": "PBE", "state": "optimized geometry", "total_energy_ev_per_cell": -40.652, "m_tot_mub_per_fu": 0.00, "polymorph_energy_ev_per_atom": 0.0000, "formation_enthalpy_0k_ev_per_atom": 0.95, "lattice": [[-1.609, 3.848, 0.080], [-2.534, -0.994, -3.161], [-2.897, -1.267, 2.721]], "species": ["Be", "Mo", "Mo", "Mo", "Mn"], "fractional_positions": [[0.000, 0.000, 0.000], [0.000, 0.500, 0.000], [0.000, 0.000, 0.500], [0.500, 0.000, 0.000], [0.500, 0.500, 0.500]]}